SrV2SO (PBE+U, optimized geometry); space group = P4/mmm; energy = -0.15318 hartree per atom
1.0
5.7120 0.0000 0.0000
0.0000 4.2390 0.0000
0.0000 0.0000 5.7120
Sr S O V
1 1 1 2
direct
0.0000 0.0000 0.0000 Sr
0.5000 0.5000 0.5000 S
0.0000 0.5000 0.0000 O
0.0000 0.0000 0.5000 V
0.5000 0.0000 0.0000 V



SrWS2O (PBE+U, optimized geometry); space group = P4/mmm; energy = -0.14507 hartree per atom
1.0
-1.8453 1.3867 4.9435
-3.6446 -2.2269 -0.7358
2.3046 -4.4704 2.1142
Sr S O W
1 2 1 1
direct
0.0000 0.0000 0.0000 Sr
0.0000 0.0000 0.5000 S
0.5000 0.0000 0.0000 S
0.0000 0.5000 0.0000 O
0.5000 0.5000 0.5000 W



- The highest energy belongs to which entry?
  SrWS2O



- Which value of energy does entry 1 give?
  -0.15318 hartree per atom



- Which value of energy does entry 1 give?
  -0.15318 hartree per atom



- Among the records above, which one has the lowest energy?
  SrV2SO